Entry 1:
AlNi3Te: relaxed, PBE-GGA.

Unit cell a=4.362 b=4.362 c=4.362 alpha=90.00 beta=90.00 gamma=90.00
Space group Pm-3m (No. 221)
Symmetry-distinct sites (fractional):
1 Al 0.000 0.000 0.000 x1
2 Ni 0.000 0.000 0.500 x3
3 Te 0.500 0.500 0.500 x1

- formation energy from raw total energies (eV per atom) = 0.49


Entry 2:
Al2NiTe: relaxed, PBE-GGA.

Unit cell a=2.972 b=3.273 c=7.518 alpha=90.00 beta=90.00 gamma=90.00
Space group Pmm2 (No. 25)
Symmetry-distinct sites (fractional):
1 Al 0.000 0.000 0.000 x1
2 Al 0.500 0.500 0.228 x1
3 Ni 0.000 0.000 0.390 x1
4 Te 0.500 0.500 0.632 x1

- formation energy from raw total energies (eV per atom) = 0.04


Entry 3:
AlNiTe: relaxed, PBE-GGA.

Unit cell a=4.076 b=4.076 c=8.926 alpha=76.86 beta=89.91 gamma=60.03
Space group P1 (No. 1)
Symmetry-distinct sites (fractional):
1 Al 0.000 0.000 0.000 x1
2 Al 0.402 0.194 0.210 x1
3 Ni 0.310 0.380 0.929 x1
4 Ni 0.694 0.611 0.084 x1
5 Te 0.595 0.812 0.779 x1
6 Te 0.792 0.413 0.384 x1

- formation energy from raw total energies (eV per atom) = -0.47


Entry 4:
AlNiTe: relaxed, PBE-GGA.

Unit cell a=3.054 b=3.054 c=12.920 alpha=90.00 beta=90.00 gamma=90.00
Space group I4mm (No. 107)
Symmetry-distinct sites (fractional):
1 Al 0.000 0.000 0.000 x2
2 Ni 0.000 0.000 0.417 x2
3 Te 0.000 0.000 0.217 x2

- formation energy from raw total energies (eV per atom) = -0.12


Entry 5:
Al2NiTe: relaxed, PBE-GGA.

Unit cell a=4.793 b=4.793 c=15.174 alpha=90.00 beta=90.00 gamma=90.00
Space group I-42d (No. 122)
Symmetry-distinct sites (fractional):
1 Al 0.137 0.250 0.125 x8
2 Ni 0.000 0.000 0.000 x4
3 Te 0.000 0.000 0.500 x4

- formation energy from raw total energies (eV per atom) = 0.00


Entry 6:
Al2NiTe: relaxed, PBE-GGA.

Unit cell a=7.864 b=3.824 c=5.815 alpha=90.00 beta=111.03 gamma=90.00
Space group Cm (No. 8)
Symmetry-distinct sites (fractional):
1 Al 0.000 0.000 0.000 x2
2 Al 0.249 0.000 0.780 x2
3 Ni 0.046 0.500 0.759 x2
4 Te 0.415 0.500 0.415 x2

- formation energy from raw total energies (eV per atom) = -0.15